A geometry-optimized Tb6Cu23 structure, computed with PBE.

Geometry as extended XYZ:
```
29
Lattice="7.3774 -2.5270 -3.5547 -4.7659 -5.5903 4.4139 -2.6950 2.8506 -7.6197" Properties=species:S:1:pos:R:3 pbc="T T T"
Cu 0.0000 0.0000 0.0000
Cu 3.6887 -1.2635 -1.7773
Cu -2.3830 -2.7951 2.2069
Cu 1.3057 -4.0586 0.4296
Cu 3.2550 -3.5857 -1.0268
Cu 2.5455 -6.0966 -0.7141
Cu 1.2088 -1.9416 -1.1539
Cu 4.9851 -3.2351 -2.9735
Cu 2.4353 -2.7187 -3.3443
Cu 0.9857 -4.4190 -2.0018
Cu 3.2296 -5.1876 -3.0830
Cu -1.2495 -0.6292 -2.1460
Cu -1.3475 1.4253 -3.8098
Cu -3.7305 -1.3698 -1.6029
Cu -0.0417 -2.6333 -3.3802
Cu 1.1661 -4.6375 -4.6144
Cu -3.3130 -0.0791 -3.6775
Cu -1.0691 -0.8477 -4.7586
Cu -2.5187 -2.5480 -3.4161
Cu -2.6290 0.8300 -6.0463
Cu -5.0686 -2.0315 -3.7870
Cu -1.2923 -3.3250 -5.6065
Cu -3.3384 -1.6810 -5.7337
Tb 4.4838 -0.9821 -4.7225
Tb 1.3452 0.0930 -3.2102
Tb -1.3931 -3.1190 -0.6741
Tb 0.1987 1.3057 -6.4519
Tb 3.3373 0.2306 -7.9641
Tb 1.3097 -2.1477 -6.0863
```

DFT total energy in eV/atom: -4.0931
ΔH_f (0 K) in meV per atom: -187

A geometry-optimized CsLiMoSe3 structure, computed with PBE.

Geometry as extended XYZ:
```
12
Lattice="4.3092 5.3517 4.4150 -4.3556 -2.0316 -6.6033 -8.3641 2.9259 4.6168" Properties=species:S:1:pos:R:3 pbc="T T T"
Cs 0.0600 4.2443 2.8249
Cs -8.4706 2.0018 -0.3964
Li -2.3513 2.1895 -0.2414
Li -6.0593 4.0565 2.6699
Mo 0.0000 0.0000 0.0000
Mo -4.1821 1.4630 2.3084
Se -1.2819 0.9967 -2.0739
Se -5.9209 -0.8522 -4.7806
Se -4.7831 2.2215 -0.1413
Se -3.6274 4.0246 2.5698
Se -2.4896 7.0982 7.2092
Se -7.1287 5.2494 4.5025
```

DFT total energy in eV/atom: -4.7327

A geometry-optimized Li2ZnSi structure, computed with PBE.

Geometry as extended XYZ:
```
8
Lattice="-0.4306 4.1692 -0.2376 -2.2899 -2.1933 2.7514 5.8035 0.9163 5.5604" Properties=species:S:1:pos:R:3 pbc="T T T"
Li -0.5680 2.1245 1.2209
Li 1.3691 2.4304 3.0768
Li 1.7140 0.4618 4.9974
Li 3.6511 0.7677 6.8533
Si -0.2192 0.1566 3.1452
Si 3.3023 2.7356 4.9290
Zn 1.4509 0.2291 1.3901
Zn 4.3526 0.6872 4.1703
```

DFT total energy in eV/atom: -2.9120

A geometry-optimized ZrCoSiTc structure, computed with PBE.

Geometry as extended XYZ:
```
4
Lattice="-4.1936 -0.3118 1.0214 -3.0001 1.6494 -2.6468 -2.5851 -2.6400 -2.2526" Properties=species:S:1:pos:R:3 pbc="T T T"
Co -7.3340 -0.9768 -2.9086
Si 0.0000 0.0000 0.0000
Tc -2.4447 -0.3256 -0.9695
Zr -4.8893 -0.6512 -1.9390
```

Energy above the lowest structure with this stoichiometry in meV per atom: 0
DFT total energy in eV/atom: -8.3033

A geometry-optimized SrDyPb2 structure, computed with PBE.

Geometry as extended XYZ:
```
4
Lattice="4.4739 0.0000 0.0000 0.0000 2.4047 6.0331 0.0000 -2.4047 6.0331" Properties=species:S:1:pos:R:3 pbc="T T T"
Dy 0.0000 0.0000 7.5938
Pb 2.2369 0.0000 1.1551
Pb 0.0000 0.0000 10.9833
Sr 2.2369 0.0000 4.4003
```

DFT total energy in eV/atom: -3.8509

A geometry-optimized TbHo2In3AgIr2 structure, computed with PBE.

Geometry as extended XYZ:
```
9
Lattice="3.8466 0.0000 0.0000 0.0000 6.6694 3.8494 0.0000 -6.6694 3.8494" Properties=species:S:1:pos:R:3 pbc="T T T"
Ag 0.0000 0.0000 7.6977
Ho 0.0000 3.9157 2.2600
Ho 0.0000 -3.9157 2.2600
In 1.9233 4.8804 4.8808
In 1.9233 0.0000 5.6362
In 1.9233 -4.8804 4.8808
Ir 1.9233 2.2250 3.8499
Ir 1.9233 -2.2250 3.8499
Tb 0.0000 0.0000 3.1783
```

DFT total energy in eV/atom: -5.3389

A geometry-optimized TmLuGa4Ir2 structure, computed with PBE.

Geometry as extended XYZ:
```
8
Lattice="-2.0389 -2.7350 -2.4316 -2.1955 -3.4211 5.6889 -3.0358 4.2408 1.3787" Properties=species:S:1:pos:R:3 pbc="T T T"
Ga -2.8072 -1.6053 0.5502
Ga -3.6747 -2.9571 2.7980
Ga -3.3689 1.3986 1.2466
Ga -4.6929 -0.6645 4.6771
Ir -2.8120 -0.4951 2.9138
Ir -3.3593 0.2895 -1.1224
Lu -5.5540 -0.6418 1.7673
Tm -0.6167 0.4356 0.0239
```

DFT total energy in eV/atom: -5.6050

A geometry-optimized NaBeTcOs structure, computed with PBE.

Geometry as extended XYZ:
```
4
Lattice="0.3825 1.4805 3.9687 0.3920 4.1797 0.6819 -3.1952 2.1738 1.7760" Properties=species:S:1:pos:R:3 pbc="T T T"
Be -0.6051 1.9585 1.6066
Na -1.8155 5.8755 4.8199
Os 0.0000 0.0000 0.0000
Tc -1.2103 3.9170 3.2133
```

Energy above the lowest structure with this stoichiometry in meV per atom: 626
DFT total energy in eV/atom: -5.5341

A geometry-optimized La2AgC structure, computed with PBE.

Geometry as extended XYZ:
```
8
Lattice="1.8314 -9.6662 0.0000 1.8314 9.6662 0.0000 0.0000 0.0000 5.4548" Properties=species:S:1:pos:R:3 pbc="T T T"
Ag 1.8314 0.7432 1.3637
Ag 1.8314 -0.7432 4.0911
C 1.8314 -3.7518 1.3637
C 1.8314 3.7518 4.0911
La 1.8314 4.0333 1.3637
La 1.8314 7.6984 1.3637
La 1.8314 -7.6984 4.0911
La 1.8314 -4.0333 4.0911
```

DFT total energy in eV/atom: -5.6494

A geometry-optimized InCuHgMo structure, computed with PBE.

Geometry as extended XYZ:
```
4
Lattice="0.0000 3.3155 3.3155 3.3155 0.0000 3.3155 3.3155 3.3155 0.0000" Properties=species:S:1:pos:R:3 pbc="T T T"
Cu 4.9732 4.9732 4.9732
Hg 1.6577 1.6577 1.6577
In 0.0000 0.0000 0.0000
Mo 3.3155 3.3155 3.3155
```

Energy above the lowest structure with this stoichiometry in meV per atom: 78
DFT total energy in eV/atom: -3.7715

A geometry-optimized Li6NiPt structure, computed with PBE.

Geometry as extended XYZ:
```
8
Lattice="4.2091 0.0000 0.0000 0.0000 4.2091 0.0000 0.0000 0.0000 5.9344" Properties=species:S:1:pos:R:3 pbc="T T T"
Li 2.1046 2.1046 0.0000
Li 2.1046 0.0000 1.4818
Li 0.0000 2.1046 1.4818
Li 0.0000 0.0000 2.9672
Li 2.1046 0.0000 4.4526
Li 0.0000 2.1046 4.4526
Ni 0.0000 0.0000 0.0000
Pt 2.1046 2.1046 2.9672
```

DFT total energy in eV/atom: -3.0481

A geometry-optimized BaLuAgTeS2 structure, computed with PBE.

Geometry as extended XYZ:
```
12
Lattice="8.1831 0.0000 0.0000 0.0000 4.1666 0.0000 -2.7898 0.0000 9.4169" Properties=species:S:1:pos:R:3 pbc="T T T"
Ag 2.2746 3.1249 3.7999
Ag 3.1187 1.0416 5.6169
Ba 5.1897 1.0416 2.2118
Ba 0.2036 3.1249 7.2051
Lu 1.0483 1.0416 1.3601
Lu 4.3451 3.1249 8.0567
S 7.4075 3.1249 1.2634
S 2.8434 3.1249 1.2680
S 2.5500 1.0416 8.1488
S -2.0142 1.0416 8.1535
Te 0.4134 1.0416 4.3610
Te 4.9799 3.1249 5.0558
```

Energy above the lowest structure with this stoichiometry in meV per atom: 0
DFT total energy in eV/atom: -4.9792

Question: Which of these has the lowest DFT total energy?
Answer: ZrCoSiTc

Question: Which of these has the lowest DFT total energy?
Answer: ZrCoSiTc